Entry 1:
Nd6Tl2Hg, optimized geometry, DFT PBE-GGA; E = -70.75 eV for the cell shown; calculated formation energy = -0.192 eV per atom
1.0
-4.910 0.435 4.266
4.680 -4.559 5.851
3.304 8.818 4.228
Hg Nd Tl
2 12 4
direct
0.000 0.000 0.500 Hg
0.500 0.500 0.000 Hg
0.400 0.798 0.438 Nd
0.356 0.550 0.721 Nd
0.856 0.950 0.221 Nd
0.366 0.847 0.052 Nd
0.634 0.153 0.948 Nd
0.644 0.450 0.279 Nd
0.600 0.202 0.562 Nd
0.100 0.298 0.062 Nd
0.144 0.050 0.779 Nd
0.134 0.347 0.448 Nd
0.900 0.702 0.938 Nd
0.866 0.653 0.552 Nd
0.910 0.381 0.761 Tl
0.410 0.119 0.261 Tl
0.590 0.881 0.739 Tl
0.090 0.619 0.239 Tl

Entry 2:
Nd4TlHg7, optimized geometry, DFT PBE-GGA; E = -26.76 eV for the cell shown; calculated formation energy = -0.268 eV per atom
1.0
-0.322 2.290 5.075
-8.354 -3.615 4.166
2.922 -4.080 5.090
Hg Nd Tl
7 4 1
direct
0.074 0.660 0.193 Hg
0.797 0.914 0.491 Hg
0.500 0.000 0.000 Hg
0.635 0.468 0.263 Hg
0.365 0.532 0.737 Hg
0.203 0.086 0.509 Hg
0.926 0.340 0.807 Hg
0.746 0.669 0.839 Nd
0.254 0.331 0.161 Nd
0.584 0.223 0.609 Nd
0.416 0.777 0.391 Nd
0.000 0.000 0.000 Tl

Entry 3:
Nd6TlHg3, optimized geometry, DFT PBE-GGA; E = -70.36 eV for the cell shown; calculated formation energy = -0.330 eV per atom
1.0
-0.882 1.078 5.200
-3.471 -8.923 1.262
11.720 -0.699 2.134
Hg Nd Tl
6 12 2
direct
0.750 0.620 0.214 Hg
0.250 0.380 0.786 Hg
0.250 0.527 0.376 Hg
0.250 0.773 0.971 Hg
0.750 0.473 0.624 Hg
0.750 0.227 0.029 Hg
0.250 0.264 0.504 Nd
0.750 0.892 0.118 Nd
0.250 0.653 0.682 Nd
0.250 0.843 0.316 Nd
0.750 0.736 0.496 Nd
0.750 0.347 0.318 Nd
0.250 0.473 0.094 Nd
0.250 0.108 0.882 Nd
0.750 0.527 0.906 Nd
0.750 0.875 0.844 Nd
0.250 0.125 0.156 Nd
0.750 0.157 0.684 Nd
0.250 0.950 0.607 Tl
0.750 0.050 0.393 Tl

Entry 4:
Nd4TlHg, optimized geometry, DFT PBE-GGA; E = -22.17 eV for the cell shown; calculated formation energy = -0.072 eV per atom
1.0
3.794 0.000 0.000
0.000 9.022 -0.024
0.000 -0.003 5.831
Nd Hg Tl
4 1 1
direct
0.500 0.287 0.001 Nd
0.500 0.713 0.999 Nd
0.000 0.204 0.501 Nd
0.000 0.796 0.499 Nd
0.000 0.000 0.000 Hg
0.500 0.500 0.500 Tl

Question: What is the formula in the first record?
Answer: Nd6Tl2Hg